Entry 1:
Entry from Alexandria: crystalline MgCu2O at its relaxed geometry (PBE).

a b c (Å): 4.136 4.136 4.136
angles (deg): 60.00 60.00 60.00
Fractional positions:
Mg  0.500  0.500  0.500
O  0.000  0.000  0.000
Cu  0.250  0.250  0.250
Cu  0.750  0.750  0.750

## Properties
E_form (uncorrected) in eV/f.u.: 0.5
Total energy in eV/atom: -3.567
Distance to the lowest polymorph of the same formula in eV/atom: 0.270


Entry 2:
Entry from Alexandria: crystalline Ba2AlW at its relaxed geometry (PBE).

a b c (Å): 5.492 5.492 7.332
angles (deg): 85.43 85.43 33.48
Fractional positions:
Ba  0.002  0.002  0.007
Ba  0.498  0.498  0.493
W  0.250  0.250  0.250
Al  0.750  0.750  0.750

## Properties
Formation energy in eV/atom: 1.23
Total energy in eV/atom: -3.905


Entry 3:
Entry from Alexandria: crystalline ZrCdAg at its relaxed geometry (PBE).

a b c (Å): 4.719 4.719 4.719
angles (deg): 60.00 60.00 60.00
Fractional positions:
Ag  0.000  0.000  0.000
Cd  0.500  0.500  0.500
Zr  0.750  0.750  0.750

## Properties
Formation energy in eV/atom: 0.48
Total energy in eV/atom: -3.626


Entry 4:
Entry from Alexandria: crystalline Sr2CdMoS at its relaxed geometry (PBE).

a b c (Å): 6.097 5.089 6.097
angles (deg): 90.00 90.00 90.00
Fractional positions:
Sr  0.000  0.000  0.500
Sr  0.500  0.000  0.000
Mo  0.000  0.500  0.000
S  0.500  0.500  0.500
Cd  0.000  0.000  0.000

## Properties
E_form (uncorrected) in eV/f.u.: 3.0
Total energy in eV/atom: -3.249


Entry 5:
Entry from Alexandria: crystalline AlZnNi3 at its relaxed geometry (PBE).

a b c (Å): 4.252 4.252 4.252
angles (deg): 90.00 90.00 90.00
Fractional positions:
Ni  0.000  0.500  0.000
Ni  0.000  0.000  0.500
Ni  0.500  0.000  0.000
Zn  0.500  0.500  0.500
Al  0.000  0.000  0.000

## Properties
Formation energy in eV/atom: 0.60
Total energy in eV/atom: -3.876
Distance to the lowest polymorph of the same formula in eV/atom: 0.500